This record from OQMD via LeMat-Bulk describes a relaxed Cu29Te5 crystal. The functional is PBE-GGA.

Results
The offset from the most stable computed form comes out at 0.0 meV/atom. The value obtained for the volume is 15.03 Å³ per atom.

Structure (CIF):
```
data_Cu29Te5
_chemical_formula_sum 'Cu58 Te10'
_symmetry_space_group_name_H-M 'P 1'
_symmetry_Int_Tables_number 1
_cell_length_a 6.822
_cell_length_b 8.825
_cell_length_c 17.002
_cell_angle_alpha 92.99
_cell_angle_beta 91.37
_cell_angle_gamma 90.26
loop_
_symmetry_equiv_pos_as_xyz
'x,y,z'
loop_
_atom_site_label
_atom_site_type_symbol
_atom_site_fract_x
_atom_site_fract_y
_atom_site_fract_z
Cu1 Cu 0.000 0.000 0.000
Cu2 Cu 0.004 0.501 0.003
Cu3 Cu 0.015 0.367 0.323
Cu4 Cu 0.016 0.869 0.327
Cu5 Cu 0.064 0.246 0.930
Cu6 Cu 0.076 0.750 0.928
Cu7 Cu 0.083 0.110 0.256
Cu8 Cu 0.083 0.611 0.256
Cu9 Cu 0.142 0.494 0.867
Cu10 Cu 0.153 0.351 0.185
Cu11 Cu 0.153 0.853 0.187
Cu12 Cu 0.158 0.711 0.510
Cu13 Cu 0.177 0.224 0.516
Cu14 Cu 0.219 0.093 0.116
Cu15 Cu 0.222 0.595 0.118
Cu16 Cu 0.233 0.460 0.436
Cu17 Cu 0.241 0.965 0.443
Cu18 Cu 0.289 0.837 0.047
Cu19 Cu 0.290 0.337 0.046
Cu20 Cu 0.302 0.707 0.371
Cu21 Cu 0.303 0.206 0.372
Cu22 Cu 0.353 0.079 0.977
Cu23 Cu 0.359 0.584 0.980
Cu24 Cu 0.371 0.949 0.303
Cu25 Cu 0.372 0.448 0.299
Cu26 Cu 0.418 0.321 0.906
Cu27 Cu 0.423 0.823 0.903
Cu28 Cu 0.439 0.190 0.232
Cu29 Cu 0.441 0.692 0.232
Cu30 Cu 0.475 0.055 0.563
Cu31 Cu 0.509 0.933 0.163
Cu32 Cu 0.510 0.432 0.161
Cu33 Cu 0.524 0.797 0.491
Cu34 Cu 0.528 0.295 0.487
Cu35 Cu 0.576 0.175 0.093
Cu36 Cu 0.581 0.676 0.093
Cu37 Cu 0.588 0.544 0.418
Cu38 Cu 0.595 0.044 0.419
Cu39 Cu 0.641 0.916 0.023
Cu40 Cu 0.644 0.418 0.022
Cu41 Cu 0.658 0.789 0.350
Cu42 Cu 0.659 0.287 0.348
Cu43 Cu 0.709 0.161 0.953
Cu44 Cu 0.715 0.661 0.951
Cu45 Cu 0.725 0.529 0.279
Cu46 Cu 0.728 0.029 0.279
Cu47 Cu 0.795 0.271 0.209
Cu48 Cu 0.798 0.772 0.210
Cu49 Cu 0.804 0.633 0.538
Cu50 Cu 0.822 0.145 0.536
Cu51 Cu 0.863 0.013 0.140
Cu52 Cu 0.864 0.514 0.140
Cu53 Cu 0.877 0.881 0.468
Cu54 Cu 0.881 0.384 0.461
Cu55 Cu 0.932 0.256 0.070
Cu56 Cu 0.936 0.757 0.070
Cu57 Cu 0.942 0.626 0.394
Cu58 Cu 0.948 0.126 0.396
Te1 Te 0.117 0.969 0.594
Te2 Te 0.237 0.710 0.779
Te3 Te 0.254 0.071 0.826
Te4 Te 0.350 0.379 0.753
Te5 Te 0.418 0.535 0.573
Te6 Te 0.640 0.822 0.646
Te7 Te 0.692 0.161 0.682
Te8 Te 0.774 0.407 0.865
Te9 Te 0.782 0.905 0.869
Te10 Te 0.965 0.412 0.613
```